No. 1
LaTm2Th, relaxed, DFT PBE; ΔE to the lowest computed polymorph = 30.7 meV per atom; M_tot = 0.00 Bohr magnetons per cell; energy = -42.25 eV/cell
1.0
3.3032 0.4247 -1.2621
0.6407 6.6801 -1.1260
0.4980 0.8319 11.6419
La Tm Th
2 4 2
Direct
0.6133 0.3031 0.7838
0.8993 0.8016 0.8185
0.4962 0.0968 0.0625
0.0167 0.0082 0.5398
0.7583 0.5602 0.0568
0.7546 0.5448 0.5455
0.3673 0.7946 0.2839
0.1457 0.3104 0.3185

No. 2
BeFeCuRu, relaxed, DFT PBE; M_tot = 3.27 Bohr magnetons per cell; energy = -25.39 eV/cell
1.0
-0.7774 -2.6765 2.9281
2.5386 -0.3727 3.1238
-1.1083 1.2836 3.6696
Be Cu Ru Fe
1 1 1 1
Direct
0.5000 0.5000 0.5000
0.2500 0.2500 0.2500
0.7500 0.7500 0.7500
0.0000 0.0000 0.0000

Q: Which formula does entry 1 have?
A: LaTm2Th